LiTaHgN2 after structural relaxation, computed with GGA-PBE.

Cell: 4.058 4.058 5.567 Å, 90.00 90.00 90.00°
Each line ends with the local moment (μB).
Fractional positions:
N: 0.000 0.500 0.000  -0.15
N: 0.500 0.000 0.000  -0.15
Li: 0.500 0.500 0.500  0.00
Hg: 0.000 0.000 0.500  0.01
Ta: 0.000 0.000 0.000  0.04

The volume is 92 Å³/cell. The value obtained for the total magnetic moment is 0.345 μB/cell. As for the total DFT energy (no corrections): -5.978 eV per atom. For the raw formation energy, the calculation gives 0.831 eV/f.u. The space-group type is P4/mmm (123).

---

MgBeIrN2 after structural relaxation, computed with GGA-PBE.

Cell: 3.553 4.445 3.553 Å, 90.00 90.00 90.00°
Fractional positions:
Be: 0.000 0.000 0.000
Mg: 0.000 0.500 0.000
Ir: 0.500 0.500 0.500
N: 0.000 0.000 0.500
N: 0.500 0.000 0.000

The volume is 56 Å³/cell. The value obtained for the total magnetic moment is 0.000 μB/cell. As for the total DFT energy (no corrections): -4.840 eV per atom. For the raw formation energy, the calculation gives 6.630 eV/f.u. The space-group type is P4/mmm (123).

---

KMoP2 after structural relaxation, computed with GGA-PBE.

Cell: 5.535 5.535 5.535 Å, 138.02 138.02 60.87°
Each line ends with the local moment (μB).
Fractional positions:
K: 0.500 0.500 0.000  0.00
Mo: 0.750 0.250 0.500  1.90
P: 0.000 0.000 0.000  -0.14
P: 0.250 0.750 0.500  -0.04

The volume is 75 Å³/cell. The polymorph energy (0 for the lowest one) is 1212 meV per atom. The value obtained for the total magnetic moment is 1.836 μB/cell. As for the total DFT energy (no corrections): -4.778 eV per atom. Its formation enthalpy at 0 K is 20.970 kcal/mol of atoms. The space-group type is I-4m2 (119).

---

MgBiMo2Au after structural relaxation, computed with GGA-PBE.

Cell: 5.116 4.830 5.116 Å, 90.00 90.00 90.00°
Each line ends with the local moment (μB).
Fractional positions:
Mg: 0.000 0.500 0.000  -0.03
Mo: 0.000 0.000 0.500  2.39
Mo: 0.500 0.000 0.000  2.10
Au: 0.000 0.000 0.000  0.11
Bi: 0.500 0.500 0.500  -0.21

The volume is 126 Å³/cell. The value obtained for the total magnetic moment is 5.053 μB/cell. As for the total DFT energy (no corrections): -4.874 eV per atom. Its formation enthalpy at 0 K is 27.886 kcal/mol of atoms. The space-group type is P4/mmm (123).